No. 1
DFT (meta-GGA SCAN) results for a PBEsol-optimized structure of YRhPb2.

POSCAR file:
```
YRhPb2
1.0
3.599 0.000 0.000
0.000 4.872 -0.002
-1.799 -2.389 5.268
Pb Rh Y
2 1 1
Cartesian
0.000 -0.002 0.015
1.799 -0.004 3.067
0.000 0.105 5.263
0.000 2.430 2.189
```

Values from the calculation:
Calculated formation energy: -333 meV per atom
Calculated volume: 92 Å³ per cell
E: -214.51 eV/f.u.
Total magnetization: 0.000 Bohr magnetons per cell
SG: No. 8

***

No. 2
DFT (meta-GGA SCAN) results for a PBEsol-optimized structure of HoReB4.

POSCAR file:
```
HoReB4
1.0
-2.978 0.362 1.930
-3.259 -0.608 -4.914
-0.329 -11.346 1.623
Re B Ho
4 16 4
Cartesian
-2.201 -5.065 -2.445
-1.387 -6.889 -0.847
-0.464 -1.075 -0.515
-3.123 -10.880 -2.776
-4.738 -2.600 -3.527
-1.827 -8.992 2.165
-3.147 -3.596 -0.884
-3.419 -7.996 -0.477
-4.161 -3.871 -2.398
-2.404 -7.721 1.037
-2.489 -2.095 -0.152
-4.076 -9.497 -1.210
-4.460 -5.659 -2.522
-2.106 -5.933 1.161
-2.687 -0.399 -0.774
-3.879 -11.193 -0.587
-4.391 -0.898 -3.311
-2.174 -10.694 1.949
-2.895 -5.186 -0.197
-3.670 -6.406 -1.164
-2.093 -2.084 -2.839
-1.494 -9.870 -0.453
-0.530 -4.048 -0.057
-3.058 -7.906 -3.234
```

Values from the calculation:
Calculated formation energy: -656 meV per atom
Calculated volume: 242 Å³ per cell
E: -153.74 eV/f.u.
Total magnetization: 0.002 Bohr magnetons per cell
SG: No. 55

***

No. 3
DFT (meta-GGA SCAN) results for a PBEsol-optimized structure of InPb2.

POSCAR file:
```
InPb2
1.0
3.347 0.000 0.000
0.000 5.410 0.000
0.000 -2.705 4.685
Pb In
2 1
Cartesian
1.041 0.000 3.124
2.306 2.705 1.562
0.000 0.000 0.000
```

Values from the calculation:
Calculated formation energy: 62 meV per atom
Calculated volume: 85 Å³ per cell
E: -184.76 eV/f.u.
Total magnetization: 0.000 Bohr magnetons per cell
SG: No. 164